10
Lattice="8.401 0.000 0.000 0.000 8.401 0.000 0.000 0.000 4.893" Properties=species:S:1:pos:R:3 comment="Cd2InI2, relaxed, DFT GGA-PBE" dft_energy_ev_per_atom=-1.667 magnetic_moment_mub_per_cell=0.00 raw_formation_energy_ev_per_atom=-0.133 e_above_lowest_polymorph_mev_per_atom=47 pbc="T T T"
Cd 0.978 3.222 0.000
Cd 3.222 7.422 0.000
Cd 5.179 0.978 0.000
Cd 7.422 5.179 0.000
In 0.000 0.000 0.000
In 4.200 4.200 0.000
I 1.866 6.066 2.447
I 2.334 1.866 2.447
I 6.066 6.535 2.447
I 6.535 2.334 2.447



3
Lattice="-1.598 1.598 8.433 1.598 -1.598 8.433 1.598 1.598 -8.433" Properties=species:S:1:pos:R:3 comment="EuGdPt, relaxed, DFT GGA-PBE" dft_energy_ev_per_atom=-9.885 magnetic_moment_mub_per_cell=14.71 ef_ev_per_atom=0.247 e_above_lowest_polymorph_mev_per_atom=997 pbc="T T T"
Eu 0.000 0.000 0.000
Gd 0.000 0.000 5.326
Pt 0.000 0.000 2.747



14
Lattice="9.725 0.000 0.000 0.000 16.438 0.000 0.000 0.000 4.501" Properties=species:S:1:pos:R:3 comment="Cs2NdI4, relaxed, DFT GGA-PBE" dft_energy_ev_per_atom=-3.174 magnetic_moment_mub_per_cell=0.51 raw_formation_energy_ev_per_atom=-1.364 e_above_lowest_polymorph_mev_per_atom=9 pbc="T T T"
Cs 0.785 2.728 0.000
Cs 4.078 10.947 0.000
Cs 5.647 5.491 0.000
Cs 8.940 13.710 0.000
Nd 0.000 8.219 2.251
Nd 4.862 0.000 2.251
I 1.037 11.240 2.251
I 2.236 7.472 0.000
I 2.626 15.691 0.000
I 3.825 3.021 2.251
I 5.900 13.417 2.251
I 7.099 0.747 0.000
I 7.488 8.966 0.000
I 8.687 5.198 2.251



5
Lattice="4.994 0.000 0.000 0.000 4.994 0.000 0.000 0.000 4.651" Properties=species:S:1:pos:R:3 comment="MnCd2BiPt, relaxed, DFT GGA-PBE" dft_energy_ev_per_atom=-3.494 magnetic_moment_mub_per_cell=0.00 ef_ev_per_atom=0.690 pbc="T T T"
Mn 0.000 0.000 0.000
Cd 0.000 2.497 0.000
Cd 2.497 0.000 0.000
Bi 2.497 2.497 2.326
Pt 0.000 0.000 2.326



5
Lattice="4.425 0.000 0.000 0.000 4.425 0.000 0.000 0.000 4.425" Properties=species:S:1:pos:R:3 comment="CaFeNi3, relaxed, DFT GGA-PBE" dft_energy_ev_per_atom=-3.575 magnetic_moment_mub_per_cell=0.65 ef_ev_per_atom=1.987 e_above_lowest_polymorph_mev_per_atom=1571 pbc="T T T"
Ca 0.000 0.000 0.000
Fe 2.212 2.212 2.212
Ni 0.000 0.000 2.212
Ni 0.000 2.212 0.000
Ni 2.212 0.000 0.000



7
Lattice="6.437 3.716 1.166 -6.437 3.716 1.166 0.000 -7.433 1.166" Properties=species:S:1:pos:R:3 comment="Cd6Hg, relaxed, DFT GGA-PBE" dft_energy_ev_per_atom=-0.774 magnetic_moment_mub_per_cell=0.00 ef_ev_per_atom=0.054 e_above_lowest_polymorph_mev_per_atom=9 pbc="T T T"
Cd -3.679 -3.231 1.613
Cd -4.638 1.570 1.885
Cd 0.959 -4.801 1.885
Cd -0.959 4.801 1.613
Cd 4.638 -1.570 1.613
Cd 3.679 3.231 1.885
Hg 0.000 0.000 1.749



12
Lattice="4.680 0.000 0.000 0.000 3.162 0.000 0.000 0.000 11.275" Properties=species:S:1:pos:R:3 comment="VHgH, relaxed, DFT GGA-PBE" dft_energy_ev_per_atom=-4.073 magnetic_moment_mub_per_cell=0.00 e_above_lowest_polymorph_mev_per_atom=170 pbc="T T T"
V 0.878 0.791 0.313
V 1.462 2.372 5.950
V 3.218 0.791 5.325
V 3.802 2.372 10.963
Hg 0.735 0.791 3.625
Hg 1.605 2.372 9.263
Hg 3.075 0.791 2.012
Hg 3.945 2.372 7.650
H 0.333 2.372 1.004
H 2.008 0.791 6.642
H 2.673 2.372 4.634
H 4.348 0.791 10.271



5
Lattice="4.378 0.000 0.000 0.000 4.378 0.000 0.000 0.000 4.323" Properties=species:S:1:pos:R:3 comment="MnWS2Cl, relaxed, DFT GGA-PBE" dft_energy_ev_per_atom=-5.440 magnetic_moment_mub_per_cell=2.86 raw_formation_energy_ev_per_atom=1.005 e_above_lowest_polymorph_mev_per_atom=755 pbc="T T T"
Mn 0.000 0.000 0.000
W 2.189 2.189 2.161
S 0.000 2.189 0.000
S 2.189 0.000 0.000
Cl 0.000 0.000 2.161



Number 1: ρ 5.71 g/cm3. Number 2: ρ 9.72 g/cm3. Number 3: ρ 4.24 g/cm3. Number 4: ρ 9.79 g/cm3. Number 5: ρ 5.21 g/cm3. Number 6: ρ 8.68 g/cm3. Number 7: ρ 10.05 g/cm3. Number 8: ρ 6.78 g/cm3.